# PBE-GGA ZrInPb, optimized geometry
# - ΔH_f (0 K) (eV/atom) = 0.01
# - energy relative to the lowest polymorph listed for this composition (eV/f.u.) = 0.30
data_ZrInPb
_symmetry_space_group_name_H-M 'I 4 m m'
_symmetry_Int_Tables_number 107
_symmetry_space_group_name_Hall 'I 4 -2'
_cell_length_a 3.208
_cell_length_b 3.208
_cell_length_c 15.140
_cell_angle_alpha 90.00
_cell_angle_beta 90.00
_cell_angle_gamma 90.00
loop_
_atom_site_label
_atom_site_type_symbol
_atom_site_fract_x
_atom_site_fract_y
_atom_site_fract_z
Zr1 Zr 0.000 0.000 0.000
In1 In 0.000 0.000 0.361
Pb1 Pb 0.000 0.000 0.662